Record 1
This record from Alexandria describes an optimized crystal structure of ScN2OF. The functional is PBEsol.

Output
- Space-group type: No. 123

a = 3.353 Å, b = 3.353 Å, c = 4.383 Å
α = 90.00°, β = 90.00°, γ = 90.00°
Each line ends with the local moment (μB).
Sites, in units of the cell vectors:
1 Sc 0.500 0.500 0.500  -0.06
2 N 0.000 0.500 0.000  0.13
3 N 0.500 0.000 0.000  0.13
4 O 0.000 0.000 0.500  0.40
5 F 0.000 0.000 0.000  0.02



Record 2
This record from Alexandria describes an optimized crystal structure of ScNOF2. The functional is PBEsol.

Output
- Space-group type: No. 123

a = 3.617 Å, b = 3.617 Å, c = 3.897 Å
α = 90.00°, β = 90.00°, γ = 90.00°
Sites, in units of the cell vectors:
1 Sc 0.500 0.500 0.500
2 N 0.000 0.000 0.000
3 O 0.000 0.000 0.500
4 F 0.000 0.500 0.000
5 F 0.500 0.000 0.000



Record 3
This record from Alexandria describes an optimized crystal structure of SnN2OF. The functional is PBEsol.

Output
- Space-group type: No. 123

a = 3.397 Å, b = 3.397 Å, c = 4.720 Å
α = 90.00°, β = 90.00°, γ = 90.00°
Each line ends with the local moment (μB).
Sites, in units of the cell vectors:
1 N 0.000 0.500 0.000  0.10
2 N 0.500 0.000 0.000  0.10
3 Sn 0.500 0.500 0.500  -0.01
4 O 0.000 0.000 0.500  0.01
5 F 0.000 0.000 0.000  0.00



| no. | calculated total energy (Ry/atom) |
| --- | --- |
| 1 | -0.400 |
| 2 | -0.396 |
| 3 | -0.301 |